Computed, not measured: a geometry-optimized K4Mn3SnF12 structure at the GGA+U level of DFT.

Unit cell a=7.588 b=7.588 c=7.588 alpha=109.47 beta=109.47 gamma=109.47
Last column: magnetic moment on the atom in μB.
Atoms (fractional coordinates):
K 0.500 0.500 0.500  0.00
K 0.000 0.000 0.500  0.00
K 0.500 0.000 0.000  0.00
K 0.000 0.500 0.000  0.00
Mn 0.500 0.000 0.500  4.69
Mn 0.500 0.500 0.000  4.69
Mn 0.000 0.500 0.500  4.69
Sn 0.000 0.000 0.000  0.02
F 0.250 0.500 0.750  0.04
F 0.736 0.000 0.736  0.02
F 0.264 0.000 0.264  0.02
F 0.750 0.500 0.250  0.04
F 0.736 0.736 0.000  0.02
F 0.264 0.264 0.000  0.02
F 0.750 0.250 0.500  0.04
F 0.250 0.750 0.500  0.04
F 0.500 0.250 0.750  0.04
F 0.000 0.736 0.736  0.02
F 0.500 0.750 0.250  0.04
F 0.000 0.264 0.264  0.02

Properties
calculated volume	16.8	A^3/atom
density of states at the Fermi level	0.00	states/eV per atom
spin magnetization	0.750	μB/atom
E_tot	-5.333	eV per atom